Computed, not measured: a geometry-optimized CoSiPb structure at the PBEsol level of DFT.

```
3
Lattice="3.0171 0.0000 0.0000 0.0000 3.0171 0.0000 -1.5085 -1.5085 5.6985" Properties=species:S:1:pos:R:3 pbc="T T T"
Pb 1.5085 1.5085 1.7574
Si 0.0000 0.0000 4.3803
Co 1.5085 1.5085 5.2593
```

Output
Offset from the most stable computed form (eV per atom): 0.000
Uncorrected energy (eV/atom): -5.662
ΔE_f (raw) (eV per atom): 0.17